First-principles (PBE+U) data for NiCNO2 after structural relaxation, as listed in Alexandria via LeMat-Bulk.

Lattice parameters (Å, degrees): 4.182 4.182 2.494 90.00 90.00 90.00
Element x y z (fractional)
C (0.000, 0.000, 0.000)
O (0.500, 0.000, 0.000)
O (0.000, 0.500, 0.000)
N (0.000, 0.000, 0.500)
Ni (0.500, 0.500, 0.500)

DFT total energy: -4.978 eV/atom